1.
The following is a DFT calculation (PBE) of Ba2Ga4Ir after structural relaxation.

Properties
DOS at the Fermi energy   4.72 states/eV/f.u.
ΔH_f (0 K)   -0.38 eV/atom
Density   6.16 Mg/m³
Energy above the lowest structure with this stoichiometry   0 meV/atom
Energy   -27.5 eV/f.u.
Crystal system   tetragonal

extended XYZ file:
```
7
Lattice="-2.4174 2.4174 8.6019 2.4174 -2.4174 8.6019 2.4174 2.4174 -8.6019" Properties=species:S:1:pos:R:3 pbc="T T T"
Ba 0.0000 0.0000 2.6629
Ba 0.0000 0.0000 14.5409
Ga 2.4174 0.0000 0.0000
Ga 0.0000 0.0000 6.0698
Ga 0.0000 2.4174 0.0000
Ga 0.0000 0.0000 11.1339
Ir 0.0000 0.0000 8.6019
```

2.
The following is a DFT calculation (PBE) of ReHPd2Ru after structural relaxation.

Properties
DOS at the Fermi energy   6.21 states/eV/f.u.
Density   11.35 Mg/m³
Energy   -29.7 eV/f.u.
Crystal system   tetragonal

extended XYZ file:
```
5
Lattice="4.9640 0.0000 0.0000 0.0000 4.9640 0.0000 0.0000 0.0000 2.9762" Properties=species:S:1:pos:R:3 pbc="T T T"
Re 0.0000 0.0000 0.0000
H 2.4820 2.4820 0.0000
Pd 0.0000 2.4820 1.4881
Pd 2.4820 0.0000 1.4881
Ru 2.4820 2.4820 1.4881
```

3.
The following is a DFT calculation (PBE) of Dy3Ga4Ag2 after structural relaxation.

Properties
DOS at the Fermi energy   3.79 states/eV/f.u.
ΔH_f (0 K)   -0.55 eV/atom
Density   8.61 Mg/m³
Energy   -36.6 eV/f.u.
Crystal system   monoclinic

extended XYZ file:
```
9
Lattice="5.3298 -2.2766 0.0000 5.3298 2.2766 0.0000 -3.5080 0.0000 7.8057" Properties=species:S:1:pos:R:3 pbc="T T T"
Dy 0.0000 0.0000 0.0000
Dy 2.3290 0.0000 2.6531
Dy 4.8225 0.0000 5.1527
Ga -0.9392 0.0000 2.8889
Ga -0.4970 0.0000 7.2128
Ga 7.6485 0.0000 0.5929
Ga 8.0907 0.0000 4.9168
Ag 1.6559 0.0000 5.6788
Ag 5.4956 0.0000 2.1269
```

4.
The following is a DFT calculation (PBE) of Cd3In3Pb5 after structural relaxation.

Properties
DOS at the Fermi energy   4.18 states/eV/f.u.
ΔH_f (0 K)   0.10 eV/atom
Density   8.69 Mg/m³
Energy   -28.4 eV/f.u.
Crystal system   hexagonal

extended XYZ file:
```
11
Lattice="10.5017 0.0000 0.0000 -5.2508 9.0947 0.0000 0.0000 0.0000 3.4377" Properties=species:S:1:pos:R:3 pbc="T T T"
Cd -0.8575 1.4852 0.0000
Cd 1.7150 0.0000 0.0000
Cd 4.3933 7.6095 0.0000
In -2.0872 3.6151 1.7188
In 4.1744 0.0000 1.7188
In 3.1637 5.4796 1.7188
Pb -3.4412 5.9604 0.0000
Pb 0.0000 6.0632 0.0000
Pb 1.8096 3.1343 0.0000
Pb 6.8825 0.0000 0.0000
Pb 5.2508 3.0316 0.0000
```

5.
The following is a DFT calculation (PBE) of PmTmBeCu after structural relaxation.

Properties
DOS at the Fermi energy   1.54 states/eV/f.u.
ΔH_f (0 K)   -0.03 eV/atom
Density   7.68 Mg/m³
Energy   -17.2 eV/f.u.
Crystal system   cubic

extended XYZ file:
```
4
Lattice="0.0000 3.4701 3.4701 3.4701 0.0000 3.4701 3.4701 3.4701 0.0000" Properties=species:S:1:pos:R:3 pbc="T T T"
Pm 0.0000 0.0000 0.0000
Tm 3.4701 3.4701 3.4701
Be 1.7350 1.7350 1.7350
Cu 5.2051 5.2051 5.2051
```

6.
The following is a DFT calculation (PBE) of TiCu2Pd3 after structural relaxation.

Properties
DOS at the Fermi energy   3.39 states/eV/f.u.
ΔH_f (0 K)   -0.15 eV/atom
Density   9.17 Mg/m³
Energy above the lowest structure with this stoichiometry   217 meV/atom
Energy   -32.6 eV/f.u.
Crystal system   monoclinic

extended XYZ file:
```
12
Lattice="9.1114 -1.3584 0.0000 9.1114 1.3584 0.0000 -2.5781 0.0000 7.2313" Properties=species:S:1:pos:R:3 pbc="T T T"
Ti 3.1041 0.0000 0.2600
Ti 12.5405 0.0000 6.9713
Cu 2.5384 0.0000 2.7497
Cu 5.6687 0.0000 6.1809
Cu 9.9759 0.0000 1.0504
Cu 13.1062 0.0000 4.4817
Pd 0.0343 0.0000 3.2298
Pd 1.8108 0.0000 5.3113
Pd 7.3373 0.0000 1.5461
Pd 8.3073 0.0000 5.6852
Pd 13.8338 0.0000 1.9200
Pd 15.6103 0.0000 4.0016
```